*a*
First-principles (PBE-GGA) data for a geometry-optimized La2YTl4 structure, as listed in Alexandria.

Geometry as CIF:
```
data_La2YTl4
_chemical_formula_sum 'La4 Y2 Tl8'
_symmetry_space_group_name_H-M 'I 4/m m m'
_symmetry_Int_Tables_number 139
_symmetry_space_group_name_Hall '-I 4 2'
_cell_length_a 5.778
_cell_length_b 5.778
_cell_length_c 16.284
_cell_angle_alpha 90.00
_cell_angle_beta 90.00
_cell_angle_gamma 90.00
loop_
_atom_site_label
_atom_site_type_symbol
_atom_site_fract_x
_atom_site_fract_y
_atom_site_fract_z
_atom_site_occupancy
La1 La 0.000 0.000 0.109 1
Y1 Y 0.000 0.000 0.500 1
Tl1 Tl 0.000 0.000 0.311 1
Tl2 Tl 0.000 0.500 0.000 1
```

*b*
First-principles (PBE-GGA) data for a geometry-optimized La2YTl4 structure, as listed in Alexandria.

Geometry as CIF:
```
data_La2YTl4
_chemical_formula_sum 'La4 Y2 Tl8'
_symmetry_space_group_name_H-M 'I 4/m m m'
_symmetry_Int_Tables_number 139
_symmetry_space_group_name_Hall '-I 4 2'
_cell_length_a 5.371
_cell_length_b 5.371
_cell_length_c 15.486
_cell_angle_alpha 90.00
_cell_angle_beta 90.00
_cell_angle_gamma 90.00
loop_
_atom_site_label
_atom_site_type_symbol
_atom_site_fract_x
_atom_site_fract_y
_atom_site_fract_z
_atom_site_occupancy
La1 La 0.000 0.000 0.248 1
Y1 Y 0.000 0.000 0.500 1
Tl1 Tl 0.000 0.500 0.109 1
```

Q: What are the energies relative to the best structure? A: *a* 330; *b* 0, in meV per atom.

*a*
First-principles (PBE-GGA) data for a geometry-optimized La3YTl3 structure, as listed in Alexandria.

Geometry as CIF:
```
data_La3YTl3
_chemical_formula_sum 'La12 Y4 Tl12'
_symmetry_space_group_name_H-M 'P 21 3'
_symmetry_Int_Tables_number 198
_symmetry_space_group_name_Hall 'P 2ac 2ab 3'
_cell_length_a 9.704
_cell_length_b 9.704
_cell_length_c 9.704
_cell_angle_alpha 90.00
_cell_angle_beta 90.00
_cell_angle_gamma 90.00
loop_
_atom_site_label
_atom_site_type_symbol
_atom_site_fract_x
_atom_site_fract_y
_atom_site_fract_z
_atom_site_occupancy
La1 La 0.068 0.432 0.568 1
La2 La 0.170 0.830 0.330 1
La3 La 0.176 0.176 0.176 1
Y1 Y 0.075 0.575 0.925 1
Tl1 Tl 0.003 0.257 0.866 1
```

*b*
First-principles (PBE-GGA) data for a geometry-optimized La3YTl3 structure, as listed in Alexandria.

Geometry as CIF:
```
data_La3YTl3
_chemical_formula_sum 'La12 Y4 Tl12'
_symmetry_space_group_name_H-M 'C 1 2/m 1'
_symmetry_Int_Tables_number 12
_symmetry_space_group_name_Hall '-C 2y'
_cell_length_a 8.580
_cell_length_b 11.083
_cell_length_c 9.833
_cell_angle_alpha 90.00
_cell_angle_beta 92.17
_cell_angle_gamma 90.00
loop_
_atom_site_label
_atom_site_type_symbol
_atom_site_fract_x
_atom_site_fract_y
_atom_site_fract_z
_atom_site_occupancy
La1 La 0.000 0.179 0.000 1
La2 La 0.000 0.245 0.500 1
La3 La 0.095 0.500 0.819 1
Y1 Y 0.227 0.500 0.453 1
Tl1 Tl 0.033 0.000 0.273 1
Tl2 Tl 0.234 0.292 0.236 1
```

Q: What are the energies relative to the best structure? A: *a* 0; *b* 73, in meV per atom.

*a*
First-principles (PBE-GGA) data for a geometry-optimized La3TlZn2 structure, as listed in Alexandria.

Geometry as CIF:
```
data_La3TlZn2
_chemical_formula_sum 'La6 Tl2 Zn4'
_symmetry_space_group_name_H-M 'P -3 m 1'
_symmetry_Int_Tables_number 164
_symmetry_space_group_name_Hall '-P 3 2"'
_cell_length_a 5.4182
_cell_length_b 5.4182
_cell_length_c 13.4172
_cell_angle_alpha 90.00
_cell_angle_beta 90.00
_cell_angle_gamma 120.00
loop_
_atom_site_label
_atom_site_type_symbol
_atom_site_fract_x
_atom_site_fract_y
_atom_site_fract_z
_atom_site_occupancy
La1 La 0.0000 0.0000 0.2382 1
La2 La 0.3333 0.6667 0.4168 1
La3 La 0.3333 0.6667 0.9276 1
Tl1 Tl 0.3333 0.6667 0.6716 1
Zn1 Zn 0.0000 0.0000 0.0000 1
Zn2 Zn 0.0000 0.0000 0.5000 1
Zn3 Zn 0.3333 0.6667 0.1665 1
```

*b*
First-principles (PBE-GGA) data for a geometry-optimized La3TlZn2 structure, as listed in Alexandria.

Geometry as CIF:
```
data_La3TlZn2
_chemical_formula_sum 'La3 Tl1 Zn2'
_symmetry_space_group_name_H-M 'P 4/m m m'
_symmetry_Int_Tables_number 123
_symmetry_space_group_name_Hall '-P 4 2'
_cell_length_a 3.786
_cell_length_b 3.786
_cell_length_c 11.807
_cell_angle_alpha 90.00
_cell_angle_beta 90.00
_cell_angle_gamma 90.00
loop_
_atom_site_label
_atom_site_type_symbol
_atom_site_fract_x
_atom_site_fract_y
_atom_site_fract_z
_atom_site_occupancy
La1 La 0.000 0.000 0.000 1
La2 La 0.000 0.000 0.312 1
Tl1 Tl 0.500 0.500 0.500 1
Zn1 Zn 0.500 0.500 0.154 1
```

Q: What are the energies relative to the best structure? A: *a* 14; *b* 0, in meV per atom.

*a*
First-principles (PBE-GGA) data for a geometry-optimized La2TlZn structure, as listed in Alexandria.

Geometry as CIF:
```
data_La2TlZn
_chemical_formula_sum 'La6 Tl3 Zn3'
_symmetry_space_group_name_H-M 'R -3 m'
_symmetry_Int_Tables_number 166
_symmetry_space_group_name_Hall '-R 3 2"'
_cell_length_a 3.8645
_cell_length_b 3.8645
_cell_length_c 29.2282
_cell_angle_alpha 90.00
_cell_angle_beta 90.00
_cell_angle_gamma 120.00
loop_
_atom_site_label
_atom_site_type_symbol
_atom_site_fract_x
_atom_site_fract_y
_atom_site_fract_z
_atom_site_occupancy
La1 La 0.0000 0.0000 0.2435 1
Tl1 Tl 0.0000 0.0000 0.0000 1
Zn1 Zn 0.0000 0.0000 0.5000 1
```

*b*
First-principles (PBE-GGA) data for a geometry-optimized La2TlZn structure, as listed in Alexandria.

Geometry as CIF:
```
data_La2TlZn
_chemical_formula_sum 'La4 Tl2 Zn2'
_symmetry_space_group_name_H-M 'C 1 m 1'
_symmetry_Int_Tables_number 8
_symmetry_space_group_name_Hall 'C -2y'
_cell_length_a 12.239
_cell_length_b 3.914
_cell_length_c 5.264
_cell_angle_alpha 90.00
_cell_angle_beta 115.30
_cell_angle_gamma 90.00
loop_
_atom_site_label
_atom_site_type_symbol
_atom_site_fract_x
_atom_site_fract_y
_atom_site_fract_z
_atom_site_occupancy
La1 La 0.000 0.000 0.000 1
La2 La 0.221 0.000 0.722 1
Tl1 Tl 0.283 0.500 0.283 1
Zn1 Zn 0.475 0.000 0.476 1
```

Q: What are the energies relative to the best structure? A: *a* 137; *b* 0, in meV per atom.

*a*
First-principles (PBE-GGA) data for a geometry-optimized La2TlZn structure, as listed in Alexandria.

Geometry as CIF:
```
data_La2TlZn
_chemical_formula_sum 'La8 Tl4 Zn4'
_symmetry_space_group_name_H-M 'I -4 2 d'
_symmetry_Int_Tables_number 122
_symmetry_space_group_name_Hall 'I -4 2bw'
_cell_length_a 8.691
_cell_length_b 8.691
_cell_length_c 6.510
_cell_angle_alpha 90.00
_cell_angle_beta 90.00
_cell_angle_gamma 90.00
loop_
_atom_site_label
_atom_site_type_symbol
_atom_site_fract_x
_atom_site_fract_y
_atom_site_fract_z
_atom_site_occupancy
La1 La 0.216 0.250 0.125 1
Tl1 Tl 0.000 0.000 0.500 1
Zn1 Zn 0.000 0.000 0.000 1
```

*b*
First-principles (PBE-GGA) data for a geometry-optimized La2TlZn structure, as listed in Alexandria.

Geometry as CIF:
```
data_La2TlZn
_chemical_formula_sum 'La6 Tl3 Zn3'
_symmetry_space_group_name_H-M 'R 3 m'
_symmetry_Int_Tables_number 160
_symmetry_space_group_name_Hall 'R 3 -2"'
_cell_length_a 4.0015
_cell_length_b 4.0015
_cell_length_c 27.5104
_cell_angle_alpha 90.00
_cell_angle_beta 90.00
_cell_angle_gamma 120.00
loop_
_atom_site_label
_atom_site_type_symbol
_atom_site_fract_x
_atom_site_fract_y
_atom_site_fract_z
_atom_site_occupancy
La1 La 0.0000 0.0000 0.0000 1
La2 La 0.0000 0.0000 0.2239 1
Tl1 Tl 0.0000 0.0000 0.4662 1
Zn1 Zn 0.0000 0.0000 0.7427 1
```

Q: What are the energies relative to the best structure? A: *a* 0; *b* 16, in meV per atom.